(1)
# KHo2AgTe4 PBE relaxed
data_KHo2AgTe4
_chemical_formula_sum 'K4 Ho8 Ag4 Te16'
_symmetry_space_group_name_H-M 'C m c m'
_symmetry_Int_Tables_number 63
_symmetry_space_group_name_Hall '-C 2c 2'
_cell_length_a 4.436
_cell_length_b 14.937
_cell_length_c 15.782
_cell_angle_alpha 90.00
_cell_angle_beta 90.00
_cell_angle_gamma 90.00
loop_
_atom_site_label
_atom_site_fract_x
_atom_site_fract_y
_atom_site_fract_z
K1 0.000 0.127 0.250
Ho1 0.000 0.369 0.070
Ag1 0.000 0.160 0.750
Te1 0.000 0.000 0.000
Te2 0.000 0.268 0.605
Te3 0.000 0.452 0.250
# total magnetic moment = 0.0 μB per formula unit
# ΔE_f (raw) = -1.13 eV/atom

(2)
# BaSbIr3 PBE relaxed
data_BaSbIr3
_chemical_formula_sum 'Ba1 Sb1 Ir3'
_symmetry_space_group_name_H-M 'P m -3 m'
_symmetry_Int_Tables_number 221
_symmetry_space_group_name_Hall '-P 4 2 3'
_cell_length_a 5.113
_cell_length_b 5.113
_cell_length_c 5.113
_cell_angle_alpha 90.00
_cell_angle_beta 90.00
_cell_angle_gamma 90.00
loop_
_atom_site_label
_atom_site_fract_x
_atom_site_fract_y
_atom_site_fract_z
Ba1 0.000 0.000 0.000
Sb1 0.500 0.500 0.500
Ir1 0.000 0.000 0.500
# total magnetic moment = 0.0 μB per formula unit
# ΔE_f (raw) = 2.54 eV/atom
# polymorph energy (0 for the lowest one) = 1796 meV/atom

(3)
# Dy5Er3H12 PBE relaxed
data_Dy5Er3H12
_chemical_formula_sum 'Dy40 Er24 H96'
_symmetry_space_group_name_H-M 'I a -3 d'
_symmetry_Int_Tables_number 230
_symmetry_space_group_name_Hall '-I 4bd 2c 3'
_cell_length_a 12.988
_cell_length_b 12.988
_cell_length_c 12.988
_cell_angle_alpha 90.00
_cell_angle_beta 90.00
_cell_angle_gamma 90.00
loop_
_atom_site_label
_atom_site_fract_x
_atom_site_fract_y
_atom_site_fract_z
Dy1 0.000 0.000 0.000
Dy2 0.000 0.250 0.375
Er1 0.000 0.250 0.125
H1 0.000 0.067 0.157
# total magnetic moment = 0.0 μB per formula unit
# final energy = -4.313 eV per atom

(4)
# Pa2SnRh8 PBE relaxed
data_Pa2SnRh8
_chemical_formula_sum 'Pa4 Sn2 Rh16'
_symmetry_space_group_name_H-M 'I m m m'
_symmetry_Int_Tables_number 71
_symmetry_space_group_name_Hall '-I 2 2'
_cell_length_a 4.494
_cell_length_b 6.110
_cell_length_c 13.860
_cell_angle_alpha 90.00
_cell_angle_beta 90.00
_cell_angle_gamma 90.00
loop_
_atom_site_label
_atom_site_fract_x
_atom_site_fract_y
_atom_site_fract_z
Pa1 0.000 0.000 0.183
Sn1 0.000 0.000 0.500
Rh1 0.000 0.233 0.000
Rh2 0.000 0.273 0.358
Rh3 0.000 0.500 0.180
# total magnetic moment = 0.0 μB per formula unit
# energy of formation from the pure elements = -0.554 eV/atom